# Be13Sb GGA-PBE optimized geometry
data_Be13Sb
_chemical_formula_sum 'Be26 Sb2'
_cell_length_a 7.272
_cell_length_b 7.272
_cell_length_c 7.272
_cell_angle_alpha 60.00
_cell_angle_beta 60.00
_cell_angle_gamma 60.00
_symmetry_space_group_name_H-M 'P 1'
_symmetry_Int_Tables_number 1
loop_
_symmetry_equiv_pos_as_xyz
'x,y,z'
loop_
_atom_site_label
_atom_site_type_symbol
_atom_site_fract_x
_atom_site_fract_y
_atom_site_fract_z
_atom_site_occupancy
Be1 Be 0.000 0.000 0.000 1
Be2 Be 0.067 0.286 0.714 1
Be3 Be 0.067 0.714 0.933 1
Be4 Be 0.067 0.933 0.286 1
Be5 Be 0.214 0.433 0.786 1
Be6 Be 0.214 0.567 0.433 1
Be7 Be 0.214 0.786 0.567 1
Be8 Be 0.286 0.067 0.933 1
Be9 Be 0.286 0.714 0.067 1
Be10 Be 0.286 0.933 0.714 1
Be11 Be 0.433 0.214 0.567 1
Be12 Be 0.433 0.567 0.786 1
Be13 Be 0.433 0.786 0.214 1
Be14 Be 0.500 0.500 0.500 1
Be15 Be 0.567 0.214 0.786 1
Be16 Be 0.567 0.433 0.214 1
Be17 Be 0.567 0.786 0.433 1
Be18 Be 0.714 0.067 0.286 1
Be19 Be 0.714 0.286 0.933 1
Be20 Be 0.714 0.933 0.067 1
Be21 Be 0.786 0.214 0.433 1
Be22 Be 0.786 0.433 0.567 1
Be23 Be 0.786 0.567 0.214 1
Be24 Be 0.933 0.067 0.714 1
Be25 Be 0.933 0.286 0.067 1
Be26 Be 0.933 0.714 0.286 1
Sb1 Sb 0.250 0.250 0.250 1
Sb2 Sb 0.750 0.750 0.750 1
# Total DFT energy (no corrections) ... -3.602 eV per atom
# Space-group type ... Fm-3c
# Magnetization ... 0.000 μB/atom

# BeSb GGA-PBE optimized geometry
data_BeSb
_chemical_formula_sum 'Be2 Sb2'
_cell_length_a 6.025
_cell_length_b 6.025
_cell_length_c 6.025
_cell_angle_alpha 143.91
_cell_angle_beta 143.91
_cell_angle_gamma 51.96
_symmetry_space_group_name_H-M 'P 1'
_symmetry_Int_Tables_number 1
loop_
_symmetry_equiv_pos_as_xyz
'x,y,z'
loop_
_atom_site_label
_atom_site_type_symbol
_atom_site_fract_x
_atom_site_fract_y
_atom_site_fract_z
_atom_site_occupancy
Be1 Be 0.375 0.625 0.750 1
Be2 Be 0.625 0.375 0.250 1
Sb1 Sb 0.125 0.875 0.250 1
Sb2 Sb 0.875 0.125 0.750 1
# Total DFT energy (no corrections) ... -3.286 eV per atom
# Space-group type ... I4_1/amd
# Energy relative to the lowest polymorph listed for this composition ... 470 meV per atom
# Magnetization ... 0.000 μB/atom

# Be2Sb GGA-PBE optimized geometry
data_Be2Sb
_chemical_formula_sum 'Be4 Sb2'
_cell_length_a 4.998
_cell_length_b 4.998
_cell_length_c 4.998
_cell_angle_alpha 60.00
_cell_angle_beta 60.00
_cell_angle_gamma 60.00
_symmetry_space_group_name_H-M 'P 1'
_symmetry_Int_Tables_number 1
loop_
_symmetry_equiv_pos_as_xyz
'x,y,z'
loop_
_atom_site_label
_atom_site_type_symbol
_atom_site_fract_x
_atom_site_fract_y
_atom_site_fract_z
_atom_site_occupancy
Be1 Be 0.000 0.000 0.000 1
Be2 Be 0.000 0.000 0.500 1
Be3 Be 0.000 0.500 0.000 1
Be4 Be 0.500 0.000 0.000 1
Sb1 Sb 0.375 0.375 0.375 1
Sb2 Sb 0.625 0.625 0.625 1
# Total DFT energy (no corrections) ... -3.221 eV per atom
# Space-group type ... Fd-3m
# Energy relative to the lowest polymorph listed for this composition ... 440 meV per atom
# Magnetization ... 0.000 μB/atom

# BeSb GGA-PBE optimized geometry
data_BeSb
_chemical_formula_sum 'Be4 Sb4'
_cell_length_a 6.450
_cell_length_b 6.450
_cell_length_c 6.450
_cell_angle_alpha 109.47
_cell_angle_beta 109.47
_cell_angle_gamma 109.47
_symmetry_space_group_name_H-M 'P 1'
_symmetry_Int_Tables_number 1
loop_
_symmetry_equiv_pos_as_xyz
'x,y,z'
loop_
_atom_site_label
_atom_site_type_symbol
_atom_site_fract_x
_atom_site_fract_y
_atom_site_fract_z
_atom_site_occupancy
Be1 Be 0.000 0.000 0.763 1
Be2 Be 0.000 0.763 0.000 1
Be3 Be 0.237 0.237 0.237 1
Be4 Be 0.763 0.000 0.000 1
Sb1 Sb 0.000 0.000 0.392 1
Sb2 Sb 0.000 0.392 0.000 1
Sb3 Sb 0.392 0.000 0.000 1
Sb4 Sb 0.608 0.608 0.608 1
# Total DFT energy (no corrections) ... -3.451 eV per atom
# Space-group type ... I-43m
# Energy relative to the lowest polymorph listed for this composition ... 305 meV per atom
# Magnetization ... 0.000 μB/atom

# Be2Sb GGA-PBE optimized geometry
data_Be2Sb
_chemical_formula_sum 'Be4 Sb2'
_cell_length_a 5.555
_cell_length_b 5.555
_cell_length_c 5.475
_cell_angle_alpha 111.73
_cell_angle_beta 111.73
_cell_angle_gamma 37.14
_symmetry_space_group_name_H-M 'P 1'
_symmetry_Int_Tables_number 1
loop_
_symmetry_equiv_pos_as_xyz
'x,y,z'
loop_
_atom_site_label
_atom_site_type_symbol
_atom_site_fract_x
_atom_site_fract_y
_atom_site_fract_z
_atom_site_occupancy
Be1 Be 0.049 0.049 0.204 1
Be2 Be 0.410 0.410 0.035 1
Be3 Be 0.590 0.590 0.965 1
Be4 Be 0.951 0.951 0.796 1
Sb1 Sb 0.170 0.170 0.694 1
Sb2 Sb 0.830 0.830 0.306 1
# Total DFT energy (no corrections) ... -3.571 eV per atom
# Space-group type ... C2/m
# Energy relative to the lowest polymorph listed for this composition ... 90 meV per atom
# Magnetization ... 0.000 μB/atom

# BeSb GGA-PBE optimized geometry
data_BeSb
_chemical_formula_sum 'Be2 Sb2'
_cell_length_a 4.146
_cell_length_b 4.146
_cell_length_c 4.925
_cell_angle_alpha 90.00
_cell_angle_beta 90.00
_cell_angle_gamma 120.00
_symmetry_space_group_name_H-M 'P 1'
_symmetry_Int_Tables_number 1
loop_
_symmetry_equiv_pos_as_xyz
'x,y,z'
loop_
_atom_site_label
_atom_site_type_symbol
_atom_site_fract_x
_atom_site_fract_y
_atom_site_fract_z
_atom_site_occupancy
Be1 Be 0.000 0.000 0.000 1
Be2 Be 0.000 0.000 0.500 1
Sb1 Sb 0.333 0.667 0.250 1
Sb2 Sb 0.667 0.333 0.750 1
# Total DFT energy (no corrections) ... -3.631 eV per atom
# Space-group type ... P6_3/mmc
# Energy relative to the lowest polymorph listed for this composition ... 124 meV per atom
# Magnetization ... 0.000 μB/atom

# BeSb GGA-PBE optimized geometry
data_BeSb
_chemical_formula_sum 'Be4 Sb4'
_cell_length_a 5.380
_cell_length_b 5.380
_cell_length_c 6.686
_cell_angle_alpha 90.00
_cell_angle_beta 90.00
_cell_angle_gamma 120.00
_symmetry_space_group_name_H-M 'P 1'
_symmetry_Int_Tables_number 1
loop_
_symmetry_equiv_pos_as_xyz
'x,y,z'
loop_
_atom_site_label
_atom_site_type_symbol
_atom_site_fract_x
_atom_site_fract_y
_atom_site_fract_z
_atom_site_occupancy
Be1 Be 0.333 0.667 0.102 1
Be2 Be 0.333 0.667 0.398 1
Be3 Be 0.667 0.333 0.602 1
Be4 Be 0.667 0.333 0.898 1
Sb1 Sb 0.000 0.000 0.250 1
Sb2 Sb 0.000 0.000 0.750 1
Sb3 Sb 0.333 0.667 0.750 1
Sb4 Sb 0.667 0.333 0.250 1
# Total DFT energy (no corrections) ... -3.214 eV per atom
# Space-group type ... P6_3/mmc
# Energy relative to the lowest polymorph listed for this composition ... 541 meV per atom
# Magnetization ... 0.000 μB/atom

# Be2Sb GGA-PBE optimized geometry
data_Be2Sb
_chemical_formula_sum 'Be4 Sb2'
_cell_length_a 6.197
_cell_length_b 6.197
_cell_length_c 6.197
_cell_angle_alpha 147.31
_cell_angle_beta 135.31
_cell_angle_gamma 56.46
_symmetry_space_group_name_H-M 'P 1'
_symmetry_Int_Tables_number 1
loop_
_symmetry_equiv_pos_as_xyz
'x,y,z'
loop_
_atom_site_label
_atom_site_type_symbol
_atom_site_fract_x
_atom_site_fract_y
_atom_site_fract_z
_atom_site_occupancy
Be1 Be 0.096 0.096 0.000 1
Be2 Be 0.235 0.500 0.735 1
Be3 Be 0.765 0.500 0.265 1
Be4 Be 0.904 0.904 0.000 1
Sb1 Sb 0.334 0.834 0.500 1
Sb2 Sb 0.666 0.166 0.500 1
# Total DFT energy (no corrections) ... -3.499 eV per atom
# Space-group type ... Immm
# Energy relative to the lowest polymorph listed for this composition ... 162 meV per atom
# Magnetization ... 0.000 μB/atom

# BeSb3 GGA-PBE optimized geometry
data_BeSb3
_chemical_formula_sum 'Be1 Sb3'
_cell_length_a 3.636
_cell_length_b 3.804
_cell_length_c 7.043
_cell_angle_alpha 90.00
_cell_angle_beta 90.00
_cell_angle_gamma 90.00
_symmetry_space_group_name_H-M 'P 1'
_symmetry_Int_Tables_number 1
loop_
_symmetry_equiv_pos_as_xyz
'x,y,z'
loop_
_atom_site_label
_atom_site_type_symbol
_atom_site_fract_x
_atom_site_fract_y
_atom_site_fract_z
_atom_site_occupancy
Be1 Be 0.000 0.000 0.000 1
Sb1 Sb 0.000 0.500 0.474 1
Sb2 Sb 0.500 0.000 0.721 1
Sb3 Sb 0.500 0.500 0.102 1
# Total DFT energy (no corrections) ... -3.640 eV per atom
# Space-group type ... Pmm2
# Energy relative to the lowest polymorph listed for this composition ... 126 meV per atom
# Magnetization ... 0.000 μB/atom

# Be5Sb3 GGA-PBE optimized geometry
data_Be5Sb3
_chemical_formula_sum 'Be5 Sb3'
_cell_length_a 7.484
_cell_length_b 7.484
_cell_length_c 3.905
_cell_angle_alpha 90.00
_cell_angle_beta 90.00
_cell_angle_gamma 139.05
_symmetry_space_group_name_H-M 'P 1'
_symmetry_Int_Tables_number 1
loop_
_symmetry_equiv_pos_as_xyz
'x,y,z'
loop_
_atom_site_label
_atom_site_type_symbol
_atom_site_fract_x
_atom_site_fract_y
_atom_site_fract_z
_atom_site_occupancy
Be1 Be 0.000 0.000 0.000 1
Be2 Be 0.000 0.500 0.000 1
Be3 Be 0.198 0.198 0.500 1
Be4 Be 0.500 0.000 0.000 1
Be5 Be 0.802 0.802 0.500 1
Sb1 Sb 0.168 0.832 0.500 1
Sb2 Sb 0.500 0.500 0.000 1
Sb3 Sb 0.832 0.168 0.500 1
# Total DFT energy (no corrections) ... -3.326 eV per atom
# Space-group type ... Cmmm
# Energy relative to the lowest polymorph listed for this composition ... 102 meV per atom
# Magnetization ... 0.000 μB/atom